Entry i
Entry from the Alexandria database: Dy2TmAl9 after structural relaxation (PBE).

abc: 4.2465 4.2465 12.7397
angles: 90.00 90.00 90.00
Last column: nearest neighbours and their distance in Å.
Fractional positions:
Dy: 0.0000 0.0000 0.1674  12 Al 3.00-3.01
Dy: 0.0000 0.0000 0.8326  12 Al 3.00-3.01
Tm: 0.0000 0.0000 0.5000  12 Al 2.99-3.00
Al: 0.0000 0.5000 0.0000  8 Al 3.00-3.01, 4 Dy 3.01
Al: 0.0000 0.5000 0.3350  2 Tm 2.99, 8 Al 2.99-3.01, 2 Dy 3.01
Al: 0.0000 0.5000 0.6650  2 Tm 2.99, 8 Al 2.99-3.01, 2 Dy 3.01
Al: 0.5000 0.0000 0.0000  8 Al 3.00-3.01, 4 Dy 3.01
Al: 0.5000 0.0000 0.3350  2 Tm 2.99, 8 Al 2.99-3.01, 2 Dy 3.01
Al: 0.5000 0.0000 0.6650  2 Tm 2.99, 8 Al 2.99-3.01, 2 Dy 3.01
Al: 0.5000 0.5000 0.1670  4 Dy 3.00, 8 Al 3.01
Al: 0.5000 0.5000 0.5000  8 Al 2.99, 4 Tm 3.00
Al: 0.5000 0.5000 0.8330  4 Dy 3.00, 8 Al 3.01

- density of states at the Fermi level (states/eV per cell) = 5.13
- magnetic moment (μB per atom) = 0.000
- mass density (g cm⁻³) = 5.33

---

Entry ii
Entry from the Alexandria database: Dy2TmAl9 after structural relaxation (PBE).

abc: 9.3140 9.3140 9.3140
angles: 34.72 34.72 34.72
Last column: nearest neighbours and their distance in Å.
Fractional positions:
Dy: 0.1422 0.1422 0.1422  12 Al 3.18-3.27, 3 Dy 3.46
Dy: 0.8578 0.8578 0.8578  12 Al 3.18-3.27, 3 Dy 3.46
Tm: 0.0000 0.0000 0.0000  18 Al 3.21-3.54
Al: 0.0759 0.5872 0.5872  7 Al 2.69-2.84
Al: 0.3353 0.3353 0.3353  6 Al 2.69-2.73
Al: 0.4128 0.4128 0.9241  7 Al 2.69-2.84
Al: 0.4128 0.9241 0.4128  7 Al 2.69-2.84
Al: 0.5000 0.5000 0.5000  6 Al 2.73
Al: 0.5872 0.0759 0.5872  7 Al 2.69-2.84
Al: 0.5872 0.5872 0.0759  7 Al 2.69-2.84
Al: 0.6647 0.6647 0.6647  6 Al 2.69-2.73
Al: 0.9241 0.4128 0.4128  7 Al 2.69-2.84

- density of states at the Fermi level (states/eV per cell) = 5.57
- magnetic moment (μB per atom) = 0.000
- mass density (g cm⁻³) = 5.23

---

Most stable = entry i

---

Entry i
Entry from the Alexandria database: DyTm4Al2 after structural relaxation (PBE).

abc: 7.4403 7.4403 7.4403
angles: 136.05 136.05 63.90
Last column: nearest neighbours and their distance in Å.
Fractional positions:
Dy: 0.0000 0.0000 0.0000  4 Tm 2.78
Tm: 0.0000 0.5000 0.5000  2 Dy 2.78
Tm: 0.2500 0.7500 0.5000  2 Tm 3.16, 4 Al 3.26
Tm: 0.5000 0.0000 0.5000  2 Dy 2.78
Tm: 0.7500 0.2500 0.5000  2 Tm 3.16, 4 Al 3.26
Al: 0.3840 0.3840 0.0000  1 Al 2.93, 8 Tm 3.15-3.26
Al: 0.6160 0.6160 0.0000  1 Al 2.93, 8 Tm 3.15-3.26

- density of states at the Fermi level (states/eV per cell) = 8.29
- magnetic moment (μB per atom) = 0.000
- mass density (g cm⁻³) = 7.57

---

Entry ii
Entry from the Alexandria database: DyTm4Al2 after structural relaxation (PBE).

abc: 6.0627 10.2799 6.6556
angles: 90.00 112.89 90.00
Last column: nearest neighbours and their distance in Å.
Fractional positions:
Dy: 0.0000 0.0000 0.0000  2 Al 3.09
Dy: 0.0000 0.5000 0.5000  2 Al 3.09
Tm: 0.0031 0.1623 0.4997  2 Al 3.10-3.12, 3 Tm 3.29-3.34
Tm: 0.0031 0.3377 0.9997  2 Al 3.10-3.12, 3 Tm 3.29-3.34
Tm: 0.4968 0.7132 0.4991  4 Al 3.00-3.23, 2 Tm 3.29
Tm: 0.4968 0.7868 0.9991  4 Al 3.00-3.23, 2 Tm 3.29
Tm: 0.5032 0.2132 0.0009  4 Al 3.00-3.23, 2 Tm 3.29
Tm: 0.5032 0.2868 0.5009  4 Al 3.00-3.23, 2 Tm 3.29
Tm: 0.9969 0.6623 0.0003  2 Al 3.10-3.12, 3 Tm 3.29-3.34
Tm: 0.9969 0.8377 0.5003  2 Al 3.10-3.12, 3 Tm 3.29-3.34
Al: 0.4688 0.5007 0.1818  1 Al 2.59
Al: 0.4688 0.9993 0.6818  1 Al 2.59
Al: 0.5312 0.0007 0.3182  1 Al 2.59
Al: 0.5312 0.4993 0.8182  1 Al 2.59

- density of states at the Fermi level (states/eV per cell) = 15.17
- magnetic moment (μB per atom) = 0.000
- mass density (g cm⁻³) = 7.75

---

Most stable = entry ii

---

Entry i
Entry from the Alexandria database: DyTm2Al after structural relaxation (PBE).

abc: 11.5610 11.5610 11.5610
angles: 16.96 16.96 16.96
Last column: nearest neighbours and their distance in Å.
Fractional positions:
Dy: 0.0000 0.0000 0.0000  6 Dy 3.41, 2 Tm 3.41
Tm: 0.0999 0.0999 0.0999  3 Al 3.01
Tm: 0.9001 0.9001 0.9001  3 Al 3.01
Al: 0.5000 0.5000 0.5000  6 Tm 3.01

- density of states at the Fermi level (states/eV per cell) = 5.23
- magnetic moment (μB per atom) = 0.199
- mass density (g cm⁻³) = 7.64

---

Entry ii
Entry from the Alexandria database: DyTm2Al after structural relaxation (PBE).

abc: 3.4808 3.4808 8.8777
angles: 90.00 90.00 90.00
Last column: nearest neighbours and their distance in Å.
Fractional positions:
Dy: 0.0000 0.0000 0.0000  4 Dy 3.48, 8 Tm 3.54
Tm: 0.5000 0.5000 0.2861  4 Al 3.11, 4 Tm 3.48
Tm: 0.5000 0.5000 0.7139  4 Al 3.11, 4 Tm 3.48
Al: 0.0000 0.0000 0.5000  8 Tm 3.11, 4 Al 3.48

- density of states at the Fermi level (states/eV per cell) = 3.81
- magnetic moment (μB per atom) = 0.000
- mass density (g cm⁻³) = 8.14

---

Most stable = entry ii

---

Entry i
Entry from the Alexandria database: DyTm2Al after structural relaxation (PBE).

abc: 5.2971 5.2971 5.2971
angles: 60.00 60.00 60.00
Last column: nearest neighbours and their distance in Å.
Fractional positions:
Dy: 0.0000 0.0000 0.0000  8 Tm 3.24
Tm: 0.2500 0.2500 0.2500  4 Dy 3.24, 4 Al 3.24
Tm: 0.7500 0.7500 0.7500  4 Dy 3.24, 4 Al 3.24
Al: 0.5000 0.5000 0.5000  8 Tm 3.24

- density of states at the Fermi level (states/eV per cell) = 6.33
- magnetic moment (μB per atom) = 0.080
- mass density (g cm⁻³) = 8.33

---

Entry ii
Entry from the Alexandria database: DyTm2Al after structural relaxation (PBE).

abc: 5.2738 6.7481 6.7481
angles: 60.12 90.00 90.00
Last column: nearest neighbours and their distance in Å.
Fractional positions:
Dy: 0.0000 0.2386 0.7614  2 Dy 3.23-3.53, 6 Tm 3.23-3.52, 4 Al 3.23-3.38
Dy: 0.0000 0.7614 0.2386  2 Dy 3.23-3.53, 6 Tm 3.23-3.52, 4 Al 3.23-3.38
Tm: 0.0000 0.7606 0.7606  4 Al 3.22-3.38, 4 Dy 3.23-3.52, 4 Tm 3.33
Tm: 0.5000 0.4140 0.4140  4 Tm 3.23-3.52, 4 Al 3.23-3.38, 4 Dy 3.33
Tm: 0.5000 0.4141 0.9355  6 Tm 3.23-3.53, 4 Al 3.23-3.40, 2 Dy 3.33
Tm: 0.5000 0.9355 0.4141  6 Tm 3.23-3.53, 4 Al 3.23-3.40, 2 Dy 3.33
Al: 0.0000 0.2545 0.2545  8 Tm 3.23-3.38, 4 Dy 3.37-3.38
Al: 0.5000 0.9191 0.9191  8 Tm 3.22-3.40, 4 Dy 3.23

- density of states at the Fermi level (states/eV per cell) = 8.35
- magnetic moment (μB per atom) = 0.000
- mass density (g cm⁻³) = 8.41

---

Entry iii
Entry from the Alexandria database: DyTm2Al after structural relaxation (PBE).

abc: 10.5167 10.5167 10.5167
angles: 19.33 19.33 19.33
Last column: nearest neighbours and their distance in Å.
Fractional positions:
Dy: 0.0000 0.0000 0.0000  6 Dy 3.53, 6 Tm 3.53-3.55
Tm: 0.2401 0.2401 0.2401  3 Al 3.04
Tm: 0.4274 0.4274 0.4274  3 Al 3.05
Al: 0.8340 0.8340 0.8340  6 Tm 3.04-3.05

- density of states at the Fermi level (states/eV per cell) = 3.95
- magnetic moment (μB per atom) = 0.159
- mass density (g cm⁻³) = 7.86

---

Most stable = entry ii

---

Entry i
Entry from the Alexandria database: Dy8TmAl2 after structural relaxation (PBE).

abc: 8.5307 8.5307 5.5410
angles: 101.67 101.67 118.08
Last column: nearest neighbours and their distance in Å.
Fractional positions:
Dy: 0.0884 0.3251 0.6117  2 Al 3.07-3.24, 1 Dy 3.34
Dy: 0.2226 0.7774 0.0000  2 Al 3.04, 1 Tm 3.26
Dy: 0.3251 0.0884 0.6117  2 Al 3.07-3.24, 1 Dy 3.34
Dy: 0.4020 0.4020 0.2038  2 Dy 3.05-3.33, 2 Al 3.20, 1 Tm 3.25
Dy: 0.5980 0.5980 0.7962  2 Dy 3.05-3.33, 2 Al 3.20, 1 Tm 3.25
Dy: 0.6749 0.9116 0.3883  2 Al 3.07-3.24, 1 Dy 3.34
Dy: 0.7774 0.2226 0.0000  2 Al 3.04, 1 Tm 3.26
Dy: 0.9116 0.6749 0.3883  2 Al 3.07-3.24, 1 Dy 3.34
Tm: 0.0000 0.0000 0.0000  8 Dy 3.25-3.60
Al: 0.3079 0.6921 0.5000  8 Dy 3.04-3.24
Al: 0.6921 0.3079 0.5000  8 Dy 3.04-3.24

- density of states at the Fermi level (states/eV per cell) = 15.54
- magnetic moment (μB per atom) = 0.000
- mass density (g cm⁻³) = 7.73

---

Entry ii
Entry from the Alexandria database: Dy8TmAl2 after structural relaxation (PBE).

abc: 8.5841 8.5841 8.1917
angles: 113.21 113.21 35.05
Last column: nearest neighbours and their distance in Å.
Fractional positions:
Dy: 0.0559 0.0559 0.2337  1 Al 3.14, 3 Dy 3.37-3.50
Dy: 0.1519 0.1519 0.7190  3 Al 3.16-3.19, 1 Dy 3.45, 2 Tm 3.52
Dy: 0.3122 0.3122 0.5482  1 Al 3.04, 4 Dy 3.18-3.37, 1 Tm 3.26
Dy: 0.3896 0.3896 0.0295  3 Al 3.15-3.20, 1 Tm 3.52
Dy: 0.6104 0.6104 0.9705  3 Al 3.15-3.20, 1 Tm 3.52
Dy: 0.6878 0.6878 0.4518  1 Al 3.04, 4 Dy 3.18-3.37, 1 Tm 3.26
Dy: 0.8481 0.8481 0.2810  3 Al 3.16-3.19, 1 Dy 3.45, 2 Tm 3.52
Dy: 0.9441 0.9441 0.7663  1 Al 3.14, 3 Dy 3.37-3.50
Tm: 0.5000 0.5000 0.5000  8 Dy 3.26-3.52
Al: 0.2240 0.2240 0.1412  8 Dy 3.04-3.20
Al: 0.7760 0.7760 0.8588  8 Dy 3.04-3.20

- density of states at the Fermi level (states/eV per cell) = 12.72
- magnetic moment (μB per atom) = 0.000
- mass density (g cm⁻³) = 8.01

---

Most stable = entry ii

---

Entry i
Entry from the Alexandria database: DyTm2Al3 after structural relaxation (PBE).

abc: 5.9383 5.9383 4.9559
angles: 90.00 90.00 120.32
Last column: nearest neighbours and their distance in Å.
Fractional positions:
Dy: 0.0000 0.0000 0.0000  6 Tm 3.42-3.44
Tm: 0.3338 0.6662 0.0000  6 Al 3.01
Tm: 0.6662 0.3338 0.0000  6 Al 3.01
Al: 0.0000 0.5000 0.5000  4 Al 2.95-2.97, 4 Tm 3.01
Al: 0.5000 0.0000 0.5000  4 Al 2.95-2.97, 4 Tm 3.01
Al: 0.5000 0.5000 0.5000  4 Al 2.97, 4 Tm 3.01

- density of states at the Fermi level (states/eV per cell) = 6.60
- magnetic moment (μB per atom) = 0.000
- mass density (g cm⁻³) = 6.40

---

Entry ii
Entry from the Alexandria database: DyTm2Al3 after structural relaxation (PBE).

abc: 3.5599 3.5599 10.7328
angles: 90.00 90.00 90.00
Last column: nearest neighbours and their distance in Å.
Fractional positions:
Dy: 0.0000 0.0000 0.0000  8 Al 3.12
Tm: 0.0000 0.0000 0.3354  8 Al 3.07-3.08
Tm: 0.0000 0.0000 0.6646  8 Al 3.07-3.08
Al: 0.5000 0.5000 0.1714  4 Tm 3.07, 4 Dy 3.12
Al: 0.5000 0.5000 0.5000  8 Tm 3.08
Al: 0.5000 0.5000 0.8286  4 Tm 3.07, 4 Dy 3.12

- density of states at the Fermi level (states/eV per cell) = 2.33
- magnetic moment (μB per atom) = 0.000
- mass density (g cm⁻³) = 7.10

---

Most stable = entry ii

---

Entry i
Entry from the Alexandria database: DyTm3Al8 after structural relaxation (PBE).

abc: 5.5185 5.5185 9.0377
angles: 90.00 90.00 120.00
Last column: nearest neighbours and their distance in Å.
Fractional positions:
Dy: 0.0000 0.0000 0.0000  12 Al 3.22-3.27, 4 Tm 3.30-3.41
Tm: 0.0000 0.0000 0.3651  12 Al 3.21-3.25, 1 Dy 3.30, 3 Tm 3.41
Tm: 0.6667 0.3333 0.4994  12 Al 3.21-3.25, 4 Tm 3.30-3.41
Tm: 0.6667 0.3333 0.8645  12 Al 3.22-3.27, 1 Tm 3.30, 3 Dy 3.41
Al: 0.1620 0.3240 0.6817  6 Al 2.68-2.84
Al: 0.1620 0.8380 0.6817  6 Al 2.68-2.84
Al: 0.3333 0.6667 0.4330  6 Al 2.78-2.79
Al: 0.3333 0.6667 0.9320  6 Al 2.79-2.80
Al: 0.5046 0.0093 0.1835  6 Al 2.68-2.84
Al: 0.5046 0.4954 0.1835  6 Al 2.68-2.84
Al: 0.6760 0.8380 0.6817  6 Al 2.68-2.84
Al: 0.9907 0.4954 0.1835  6 Al 2.68-2.84

- density of states at the Fermi level (states/eV per cell) = 5.94
- magnetic moment (μB per atom) = 0.000
- mass density (g cm⁻³) = 6.17

---

Entry ii
Entry from the Alexandria database: DyTm3Al8 after structural relaxation (PBE).

abc: 9.5951 9.5951 9.5951
angles: 33.41 33.41 33.41
Last column: nearest neighbours and their distance in Å.
Fractional positions:
Dy: 0.0000 0.0000 0.0000  12 Al 3.24-3.26, 4 Tm 3.38-3.39
Tm: 0.1248 0.1248 0.1248  12 Al 3.23-3.24, 3 Tm 3.38, 1 Dy 3.39
Tm: 0.5002 0.5002 0.5002  12 Al 3.23-3.25, 4 Tm 3.37-3.38
Tm: 0.6244 0.6244 0.6244  12 Al 3.24-3.26, 1 Tm 3.37, 3 Dy 3.38
Al: 0.0622 0.0622 0.5619  6 Al 2.76-2.77
Al: 0.0622 0.5619 0.0622  6 Al 2.76-2.77
Al: 0.0628 0.5626 0.5626  6 Al 2.76-2.78
Al: 0.3123 0.3123 0.3123  6 Al 2.77-2.78
Al: 0.5619 0.0622 0.0622  6 Al 2.76-2.77
Al: 0.5626 0.0628 0.5626  6 Al 2.76-2.78
Al: 0.5626 0.5626 0.0628  6 Al 2.76-2.78
Al: 0.8125 0.8125 0.8125  6 Al 2.76

- density of states at the Fermi level (states/eV per cell) = 9.89
- magnetic moment (μB per atom) = 0.000
- mass density (g cm⁻³) = 6.16

---

Most stable = entry ii

---

Entry i
Entry from the Alexandria database: DyTm2Al2 after structural relaxation (PBE).

abc: 3.5928 5.1097 13.3734
angles: 90.00 97.72 90.00
Last column: nearest neighbours and their distance in Å.
Fractional positions:
Dy: 0.1452 0.2500 0.2920  6 Al 3.13-3.14, 2 Tm 3.46
Dy: 0.8548 0.7500 0.7080  6 Al 3.13-3.14, 2 Tm 3.46
Tm: 0.0468 0.7500 0.0937  8 Al 3.07-3.12
Tm: 0.2335 0.7500 0.4678  2 Al 3.05, 4 Tm 3.24
Tm: 0.7665 0.2500 0.5322  2 Al 3.05, 4 Tm 3.24
Tm: 0.9532 0.2500 0.9063  8 Al 3.07-3.12
Al: 0.3598 0.2500 0.7186  4 Tm 3.05-3.07, 4 Dy 3.13
Al: 0.4509 0.7500 0.9019  6 Tm 3.11-3.12, 2 Dy 3.13-3.14
Al: 0.5491 0.2500 0.0981  6 Tm 3.11-3.12, 2 Dy 3.13-3.14
Al: 0.6402 0.7500 0.2814  4 Tm 3.05-3.07, 4 Dy 3.13

- density of states at the Fermi level (states/eV per cell) = 6.51
- magnetic moment (μB per atom) = 0.000
- mass density (g cm⁻³) = 7.57

---

Entry ii
Entry from the Alexandria database: DyTm2Al2 after structural relaxation (PBE).

abc: 5.5345 3.5881 13.2276
angles: 90.00 96.12 90.00
Last column: nearest neighbours and their distance in Å.
Fractional positions:
Dy: 0.1811 0.2500 0.2355  2 Al 3.11
Dy: 0.8189 0.7500 0.7645  2 Al 3.11
Tm: 0.2405 0.7500 0.4623  4 Al 3.15-3.20, 4 Tm 3.44-3.45, 2 Dy 3.48
Tm: 0.3463 0.2500 0.8881  5 Al 2.83-3.02
Tm: 0.6537 0.7500 0.1119  5 Al 2.83-3.02
Tm: 0.7595 0.2500 0.5377  4 Al 3.15-3.20, 4 Tm 3.44-3.45, 2 Dy 3.48
Al: 0.1510 0.7500 0.0430  2 Al 2.63, 1 Tm 2.83
Al: 0.2924 0.2500 0.6587  5 Tm 3.02-3.20
Al: 0.7076 0.7500 0.3413  5 Tm 3.02-3.20
Al: 0.8490 0.2500 0.9570  2 Al 2.63, 1 Tm 2.83

- density of states at the Fermi level (states/eV per cell) = 10.58
- magnetic moment (μB per atom) = 0.000
- mass density (g cm⁻³) = 7.05

---

Most stable = entry i